Entry 1:
## Cr2SiSe (PBE)

Data for Cr2SiSe after structural relaxation.

Results
Its magnetization is 0.570 μB per atom. The crystal system is cubic. As for the offset from the most stable computed form: 0.2166 eV/atom. The calculation puts the uncorrected formation energy at 0.168 eV/atom.

Geometry as CIF:
```
data_Cr2SiSe
_chemical_formula_sum 'Cr8 Si4 Se4'
_cell_length_a 5.946
_cell_length_b 5.946
_cell_length_c 5.946
_cell_angle_alpha 90.00
_cell_angle_beta 90.00
_cell_angle_gamma 90.00
_space_group_name_H-M_alt 'F m -3 m'
_space_group_IT_number 225
_space_group_name_Hall '-F 4 2 3'
loop_
_atom_site_label
_atom_site_fract_x
_atom_site_fract_y
_atom_site_fract_z
_atom_site_occupancy
Cr1 0.250 0.250 0.250 1
Si1 0.000 0.000 0.000 1
Se1 0.000 0.000 0.500 1
```

---

Entry 2:
## Cr2SiSe (PBE)

Data for Cr2SiSe after structural relaxation.

Results
Its magnetization is 0.666 μB per atom. The crystal system is orthorhombic. As for the offset from the most stable computed form: 0.1694 eV/atom. The calculation puts the uncorrected formation energy at 0.121 eV/atom.

Geometry as CIF:
```
data_Cr2SiSe
_chemical_formula_sum 'Cr2 Si1 Se1'
_cell_length_a 2.966
_cell_length_b 4.222
_cell_length_c 4.238
_cell_angle_alpha 90.00
_cell_angle_beta 90.00
_cell_angle_gamma 90.00
_space_group_name_H-M_alt 'P m m m'
_space_group_IT_number 47
loop_
_space_group_symop_operation_xyz
'x,y,z'
'-x,-y,-z'
'-x,-y,z'
'x,y,-z'
'x,-y,-z'
'-x,y,z'
'-x,y,-z'
'x,-y,z'
loop_
_atom_site_label
_atom_site_fract_x
_atom_site_fract_y
_atom_site_fract_z
_atom_site_occupancy
Cr1 0.000 0.000 0.000 1
Cr2 0.000 0.500 0.500 1
Si1 0.500 0.000 0.500 1
Se1 0.500 0.500 0.000 1
```

---

Entry 3:
## CrSiSe4 (PBE)

Data for CrSiSe4 after structural relaxation.

Results
Its magnetization is 0.808 μB per atom. The crystal system is cubic. The calculation puts the uncorrected formation energy at 0.876 eV/atom.

Geometry as CIF:
```
data_CrSiSe4
_chemical_formula_sum 'Cr4 Si4 Se16'
_cell_length_a 8.028
_cell_length_b 8.028
_cell_length_c 8.028
_cell_angle_alpha 90.00
_cell_angle_beta 90.00
_cell_angle_gamma 90.00
_space_group_name_H-M_alt 'F -4 3 m'
_space_group_IT_number 216
_space_group_name_Hall 'F -4 2 3'
loop_
_atom_site_label
_atom_site_fract_x
_atom_site_fract_y
_atom_site_fract_z
_atom_site_occupancy
Cr1 0.000 0.000 0.000 1
Si1 0.250 0.250 0.250 1
Se1 0.125 0.125 0.625 1
```

---

Entry 4:
## Cr3SiSe (PBE)

Data for Cr3SiSe after structural relaxation.

Results
Its magnetization is 2.388 μB per atom. The crystal system is cubic. As for the offset from the most stable computed form: 0.1384 eV/atom. The calculation puts the uncorrected formation energy at 0.859 eV/atom.

Geometry as CIF:
```
data_Cr3SiSe
_chemical_formula_sum 'Cr3 Si1 Se1'
_cell_length_a 4.734
_cell_length_b 4.734
_cell_length_c 4.734
_cell_angle_alpha 90.00
_cell_angle_beta 90.00
_cell_angle_gamma 90.00
_space_group_name_H-M_alt 'P m -3 m'
_space_group_IT_number 221
_space_group_name_Hall '-P 4 2 3'
loop_
_atom_site_label
_atom_site_fract_x
_atom_site_fract_y
_atom_site_fract_z
_atom_site_occupancy
Cr1 0.000 0.000 0.500 1
Si1 0.500 0.500 0.500 1
Se1 0.000 0.000 0.000 1
```